Record 1
Here is a geometry-optimized Tl2S6I structure from the Alexandria database. Energies are from PBE.

Formation energy without anion corrections in eV per atom: -0.074
Total magnetic moment in μB/f.u.: 0.0
Total energy in eV/cell: -31.7
SG: P-1
Calculated density in g/cm³: 4.3

abc: 5.654 8.064 8.089
angles: 89.65 117.71 117.62
Positions (direct):
S: 0.140 0.783 0.490
S: 0.026 0.335 0.336
S: 0.862 0.511 0.219
S: 0.860 0.217 0.510
Tl: 0.500 0.178 0.823
S: 0.974 0.665 0.664
Tl: 0.500 0.822 0.177
S: 0.138 0.489 0.781
I: 0.000 0.000 0.000

---

Record 2
Here is a geometry-optimized Mn2ReRu2 structure from the Alexandria database. Energies are from PBE.

Energy of formation in eV per atom: 0.660
Total magnetic moment in μB/f.u.: 0.0
Total energy in eV/cell: -46.0
Polymorph energy (0 for the lowest one) in meV/atom: 500
SG: I4/mmm
Calculated density in g/cm³: 11.8

abc: 3.479 3.479 6.289
angles: 73.94 73.94 90.00
Positions (direct):
Ru: 0.395 0.395 0.210
Mn: 0.750 0.250 0.500
Re: 0.000 0.000 0.000
Ru: 0.605 0.605 0.790
Mn: 0.250 0.750 0.500

---

Record 3
Here is a geometry-optimized AcPm2HoSb4 structure from the Alexandria database. Energies are from PBE.

Formation energy without anion corrections in eV per atom: -1.142
Total magnetic moment in μB/f.u.: 0.0
Total energy in eV/cell: -43.8
SG: P2/m
Calculated density in g/cm³: 7.3

abc: 4.548 7.876 7.866
angles: 70.59 90.00 90.00
Positions (direct):
Sb: 0.500 0.250 0.739
Pm: 0.500 0.000 0.500
Ac: 0.500 0.500 0.000
Sb: 0.500 0.750 0.261
Sb: 0.000 0.758 0.736
Ho: 0.000 0.500 0.500
Pm: 0.000 0.000 0.000
Sb: 0.000 0.242 0.264

---

Record 4
Here is a geometry-optimized ErTiCuHg structure from the Alexandria database. Energies are from PBE.

Energy of formation in eV per atom: -0.078
Total magnetic moment in μB/f.u.: 1.4
Total energy in eV/cell: -17.2
SG: F-43m
Calculated density in g/cm³: 9.9

abc: 4.842 4.842 4.842
angles: 60.00 60.00 60.00
Last column: magnetic moment on the atom in μB.
Positions (direct):
Er: 0.000 0.000 0.000  0.16
Ti: 0.500 0.500 0.500  0.97
Hg: 0.250 0.250 0.250  0.01
Cu: 0.750 0.750 0.750  0.04

---

Record 5
Here is a geometry-optimized ZnAgBr2 structure from the Alexandria database. Energies are from PBE.

Formation energy without anion corrections in eV per atom: -0.158
Total magnetic moment in μB/f.u.: 0.0
Total energy in eV/cell: -8.1
Polymorph energy (0 for the lowest one) in meV/atom: 88
SG: P2/m
Calculated density in g/cm³: 4.9

abc: 3.862 4.156 7.019
angles: 94.10 90.00 90.00
Positions (direct):
Ag: 0.500 0.750 0.750
Br: 0.000 0.997 0.003
Zn: 0.500 0.250 0.250
Br: 0.000 0.503 0.497

---

Record 6
Here is a geometry-optimized La7NdCd4 structure from the Alexandria database. Energies are from PBE.

Energy of formation in eV per atom: -0.135
Total magnetic moment in μB/f.u.: 0.0
Total energy in eV/cell: -44.5
Polymorph energy (0 for the lowest one) in meV/atom: 0
SG: P-1
Calculated density in g/cm³: 6.8

abc: 6.491 6.853 10.852
angles: 75.44 55.07 84.78
Positions (direct):
La: 0.051 0.294 0.619
Cd: 0.599 0.813 0.725
La: 0.949 0.706 0.381
La: 0.201 0.498 0.073
Nd: 0.000 0.000 0.000
La: 0.248 0.815 0.581
La: 0.799 0.502 0.927
La: 0.752 0.185 0.419
Cd: 0.401 0.187 0.275
Cd: 0.442 0.386 0.732
Cd: 0.558 0.614 0.268
La: 0.500 0.000 0.000

---

Record 7
Here is a geometry-optimized Th2CoRh structure from the Alexandria database. Energies are from PBE.

Energy of formation in eV per atom: -0.642
Total magnetic moment in μB/f.u.: 0.0
Total energy in eV/cell: -63.7
Polymorph energy (0 for the lowest one) in meV/atom: 0
SG: P2_1/m
Calculated density in g/cm³: 11.7

abc: 4.018 6.030 7.715
angles: 108.66 90.00 90.00
Positions (direct):
Th: 0.250 0.772 0.560
Co: 0.250 0.298 0.700
Th: 0.750 0.229 0.924
Rh: 0.750 0.685 0.797
Rh: 0.250 0.315 0.203
Th: 0.750 0.228 0.440
Th: 0.250 0.771 0.076
Co: 0.750 0.702 0.300

---

Record 8
Here is a geometry-optimized Sc2NbN structure from the Alexandria database. Energies are from PBE.

Formation energy without anion corrections in eV per atom: -0.099
Total magnetic moment in μB/f.u.: 0.7
Total energy in eV/cell: -62.9
SG: I-42d
Calculated density in g/cm³: 4.1

abc: 6.233 6.233 6.019
angles: 58.82 58.82 90.00
Last column: magnetic moment on the atom in μB.
Positions (direct):
Sc: 0.875 0.751 0.750  0.04
N: 0.500 0.500 0.000  0.01
Sc: 0.249 0.625 0.250  0.04
N: 0.250 0.750 0.500  0.00
Sc: 0.501 0.125 0.250  0.05
Nb: 0.000 0.000 0.000  0.43
Nb: 0.750 0.250 0.500  0.44
Sc: 0.375 0.499 0.750  0.05

---

Record 9
Here is a geometry-optimized Y2GaAg3 structure from the Alexandria database. Energies are from PBE.

Energy of formation in eV per atom: -0.275
Total magnetic moment in μB/f.u.: 0.0
Total energy in eV/cell: -26.2
Polymorph energy (0 for the lowest one) in meV/atom: 91
SG: Imm2
Calculated density in g/cm³: 6.8

abc: 3.729 4.296 9.139
angles: 103.59 101.77 90.00
Positions (direct):
Ga: 0.459 0.959 0.919
Y: 0.117 0.117 0.234
Ag: 0.308 0.808 0.616
Ag: 0.696 0.696 0.391
Ag: 0.538 0.538 0.077
Y: 0.881 0.381 0.763

---

Record 10
Here is a geometry-optimized ErCuRhPb structure from the Alexandria database. Energies are from PBE.

Energy of formation in eV per atom: -0.347
Total magnetic moment in μB/f.u.: 0.0
Total energy in eV/cell: -21.1
SG: F-43m
Calculated density in g/cm³: 11.7

abc: 4.766 4.766 4.766
angles: 60.00 60.00 60.00
Positions (direct):
Pb: 0.500 0.500 0.500
Er: 0.000 0.000 0.000
Rh: 0.750 0.750 0.750
Cu: 0.250 0.250 0.250

---

Record 11
Here is a geometry-optimized TeIrPbO6 structure from the Alexandria database. Energies are from PBE.

Formation energy without anion corrections in eV per atom: -0.854
Total magnetic moment in μB/f.u.: 0.4
Total energy in eV/cell: -106.3
SG: Imma
Calculated density in g/cm³: 7.8

abc: 7.308 7.014 7.250
angles: 118.93 120.27 90.00
Last column: magnetic moment on the atom in μB.
Positions (direct):
O: 0.169 0.331 0.736  0.03
Pb: 0.804 0.554 0.608  0.01
O: 0.422 0.672 0.844  0.01
O: 0.831 0.095 0.264  0.03
Pb: 0.196 0.446 0.392  0.01
Ir: 0.500 0.500 0.000  0.26
Te: 0.000 0.000 0.500  0.00
O: 0.824 0.074 0.647  0.01
O: 0.831 0.669 0.264  0.03
O: 0.433 0.669 0.264  0.03
O: 0.567 0.905 0.736  0.03
O: 0.567 0.331 0.736  0.03
O: 0.578 0.328 0.156  0.01
O: 0.433 0.095 0.264  0.03
O: 0.176 0.926 0.353  0.01
O: 0.169 0.905 0.736  0.03
Ir: 0.500 0.000 0.000  0.26
Te: 0.500 0.000 0.500  0.00

---

Record 12
Here is a geometry-optimized Nd8Ho6Tm structure from the Alexandria database. Energies are from PBE.

Energy of formation in eV per atom: 0.172
Total magnetic moment in μB/f.u.: 0.0
Total energy in eV/cell: -67.5
Polymorph energy (0 for the lowest one) in meV/atom: 48
SG: P-3
Calculated density in g/cm³: 7.6

abc: 6.572 9.420 9.420
angles: 120.00 90.00 90.00
Positions (direct):
Ho: 0.343 0.094 0.437
Nd: 0.167 0.287 0.250
Nd: 0.167 0.750 0.037
Ho: 0.657 0.906 0.563
Nd: 0.121 0.667 0.333
Nd: 0.833 0.250 0.963
Tm: 0.500 0.000 0.000
Nd: 0.833 0.037 0.287
Ho: 0.343 0.343 0.906
Nd: 0.167 0.963 0.713
Ho: 0.343 0.563 0.657
Nd: 0.833 0.713 0.750
Ho: 0.657 0.437 0.343
Nd: 0.879 0.333 0.667
Ho: 0.657 0.657 0.094

---

Record 13
Here is a geometry-optimized Nd2InGe structure from the Alexandria database. Energies are from PBE.

Energy of formation in eV per atom: -0.556
Total magnetic moment in μB/f.u.: 0.0
Total energy in eV/cell: -19.1
SG: P4/mmm
Calculated density in g/cm³: 7.4

abc: 3.941 3.941 6.894
angles: 90.00 90.00 90.00
Positions (direct):
In: 0.500 0.500 0.500
Nd: 0.000 0.000 0.774
Ge: 0.500 0.500 0.000
Nd: 0.000 0.000 0.226